#P
ScVTe2N: relaxed, PBE.

a = 5.3979 Å, b = 5.3979 Å, c = 3.6711 Å
α = 90.00°, β = 90.00°, γ = 90.00°
With the nearest neighbours (Å) after each atom.
Space group P4/mmm (No. 123)
Unique sites:
Sc 0.0000 0.0000 0.0000 x1  8 Te 3.26
V 0.5000 0.5000 0.5000 x1  2 N 1.84
Te 0.0000 0.5000 0.5000 x2  2 V 2.70
N 0.5000 0.5000 0.0000 x1  2 V 1.84

Properties
mass density = 5.7 Mg/m³
N(E_F) = 0.57 states/eV per atom

#Q
ScVTe2N: relaxed, PBE.

a = 5.6748 Å, b = 5.6748 Å, c = 3.8635 Å
α = 90.00°, β = 90.00°, γ = 90.00°
With the nearest neighbours (Å) after each atom.
Space group P4/mmm (No. 123)
Unique sites:
Sc 0.0000 0.0000 0.0000 x1  2 N 1.93
V 0.5000 0.5000 0.5000 x1  8 Te 3.43
Te 0.0000 0.5000 0.0000 x2  2 Sc 2.84
N 0.0000 0.0000 0.5000 x1  2 Sc 1.93

Properties
mass density = 4.9 Mg/m³
N(E_F) = 1.24 states/eV per atom

Ranking the structures above from most stable to least stable yields #P, #Q.